Nd4RhS3: relaxed, GGA-PBE.

uncorrected energy: -51.91 eV per formula unit
density of states at the Fermi level: 0.708 states/eV/atom

Cell and atoms, written as CIF:
```
data_Nd4RhS3
_chemical_formula_sum 'Nd8 Rh2 S6'
_cell_length_a 8.3145
_cell_length_b 11.6722
_cell_length_c 4.0526
_cell_angle_alpha 90.00
_cell_angle_beta 90.00
_cell_angle_gamma 90.00
_symmetry_space_group_name_H-M 'C m m m'
_symmetry_Int_Tables_number 65
_symmetry_space_group_name_Hall '-C 2 2'
loop_
_atom_site_label
_atom_site_fract_x
_atom_site_fract_y
_atom_site_fract_z
Nd1 0.0000 0.2493 0.0000
Nd2 0.2432 0.0000 0.5000
Rh1 0.0000 0.0000 0.0000
S1 0.0000 0.5000 0.0000
S2 0.2500 0.2500 0.5000
```



NdRhS2: relaxed, GGA-PBE.

uncorrected energy: -22.56 eV per formula unit
density of states at the Fermi level: 0.385 states/eV/atom

Cell and atoms, written as CIF:
```
data_NdRhS2
_chemical_formula_sum 'Nd3 Rh3 S6'
_cell_length_a 3.6737
_cell_length_b 3.6737
_cell_length_c 23.6807
_cell_angle_alpha 90.00
_cell_angle_beta 90.00
_cell_angle_gamma 120.00
_symmetry_space_group_name_H-M 'R -3 m'
_symmetry_Int_Tables_number 166
_symmetry_space_group_name_Hall '-R 3 2"'
loop_
_atom_site_label
_atom_site_fract_x
_atom_site_fract_y
_atom_site_fract_z
Nd1 0.0000 0.0000 0.0000
Rh1 0.0000 0.0000 0.5000
S1 0.0000 0.0000 0.1181
```



Nd5RhS4: relaxed, GGA-PBE.

uncorrected energy: -64.93 eV per formula unit
density of states at the Fermi level: 0.471 states/eV/atom

Cell and atoms, written as CIF:
```
data_Nd5RhS4
_chemical_formula_sum 'Nd10 Rh2 S8'
_cell_length_a 4.0878
_cell_length_b 4.0878
_cell_length_c 29.0119
_cell_angle_alpha 90.00
_cell_angle_beta 90.00
_cell_angle_gamma 90.00
_symmetry_space_group_name_H-M 'I 4/m m m'
_symmetry_Int_Tables_number 139
_symmetry_space_group_name_Hall '-I 4 2'
loop_
_atom_site_label
_atom_site_fract_x
_atom_site_fract_y
_atom_site_fract_z
Nd1 0.0000 0.0000 0.0000
Nd2 0.0000 0.0000 0.2022
Nd3 0.0000 0.0000 0.4008
Rh1 0.0000 0.0000 0.5000
S1 0.0000 0.0000 0.1021
S2 0.0000 0.0000 0.3017
```



Nd3Rh5S12: relaxed, GGA-PBE.

uncorrected energy: -117.26 eV per formula unit
density of states at the Fermi level: 0.792 states/eV/atom

Cell and atoms, written as CIF:
```
data_Nd3Rh5S12
_chemical_formula_sum 'Nd24 Rh40 S96'
_cell_length_a 14.9887
_cell_length_b 14.9887
_cell_length_c 14.9887
_cell_angle_alpha 90.00
_cell_angle_beta 90.00
_cell_angle_gamma 90.00
_symmetry_space_group_name_H-M 'I a -3 d'
_symmetry_Int_Tables_number 230
_symmetry_space_group_name_Hall '-I 4bd 2c 3'
loop_
_atom_site_label
_atom_site_fract_x
_atom_site_fract_y
_atom_site_fract_z
Nd1 0.0000 0.2500 0.1250
Rh1 0.0000 0.0000 0.0000
Rh2 0.0000 0.2500 0.3750
S1 0.0301 0.0564 0.6462
```



NdSbRhS: relaxed, GGA-PBE.

uncorrected energy: -24.88 eV per formula unit
density of states at the Fermi level: 0.684 states/eV/atom

Cell and atoms, written as CIF:
```
data_NdSbRhS
_chemical_formula_sum 'Nd2 Sb2 Rh2 S2'
_cell_length_a 4.6698
_cell_length_b 4.6698
_cell_length_c 8.5524
_cell_angle_alpha 90.00
_cell_angle_beta 90.00
_cell_angle_gamma 90.00
_symmetry_space_group_name_H-M 'P 4/n m m'
_symmetry_Int_Tables_number 129
loop_
_symmetry_equiv_pos_as_xyz
'x,y,z'
'-x,-y,-z'
'-y+1/2,x,z'
'y+1/2,-x,-z'
'-x+1/2,-y+1/2,z'
'x+1/2,y+1/2,-z'
'y,-x+1/2,z'
'-y,x+1/2,-z'
'x+1/2,-y,-z'
'-x+1/2,y,z'
'-y,-x,-z'
'y,x,z'
'-x,y+1/2,-z'
'x,-y+1/2,z'
'y+1/2,x+1/2,-z'
'-y+1/2,-x+1/2,z'
loop_
_atom_site_label
_atom_site_fract_x
_atom_site_fract_y
_atom_site_fract_z
Nd1 0.2500 0.2500 0.1760
Sb1 0.2500 0.2500 0.6453
Rh1 0.2500 0.7500 0.5000
S1 0.2500 0.7500 0.0000
```



Nd4RhSe2S: relaxed, GGA-PBE.

uncorrected energy: -50.06 eV per formula unit
density of states at the Fermi level: 0.761 states/eV/atom

Cell and atoms, written as CIF:
```
data_Nd4RhSe2S
_chemical_formula_sum 'Nd4 Rh1 Se2 S1'
_cell_length_a 7.2929
_cell_length_b 4.1182
_cell_length_c 7.3603
_cell_angle_alpha 90.00
_cell_angle_beta 108.99
_cell_angle_gamma 90.00
_symmetry_space_group_name_H-M 'P 1 2/m 1'
_symmetry_Int_Tables_number 10
loop_
_symmetry_equiv_pos_as_xyz
'x,y,z'
'-x,-y,-z'
'-x,y,-z'
'x,-y,z'
loop_
_atom_site_label
_atom_site_fract_x
_atom_site_fract_y
_atom_site_fract_z
Nd1 0.2370 0.0000 0.2294
Nd2 0.2546 0.5000 0.7640
Rh1 0.0000 0.5000 0.0000
Se1 0.0000 0.0000 0.5000
Se2 0.5000 0.5000 0.5000
S1 0.5000 0.0000 0.0000
```



Nd6RhSe2S3: relaxed, GGA-PBE.

uncorrected energy: -75.94 eV per formula unit
density of states at the Fermi level: 0.437 states/eV/atom

Cell and atoms, written as CIF:
```
data_Nd6RhSe2S3
_chemical_formula_sum 'Nd12 Rh2 Se4 S6'
_cell_length_a 18.1489
_cell_length_b 4.0958
_cell_length_c 8.3802
_cell_angle_alpha 90.00
_cell_angle_beta 103.13
_cell_angle_gamma 90.00
_symmetry_space_group_name_H-M 'C 1 2/m 1'
_symmetry_Int_Tables_number 12
loop_
_symmetry_equiv_pos_as_xyz
'x,y,z'
'-x,-y,-z'
'-x,y,-z'
'x,-y,z'
'x+1/2,y+1/2,z'
'-x+1/2,-y+1/2,-z'
'-x+1/2,y+1/2,-z'
'x+1/2,-y+1/2,z'
loop_
_atom_site_label
_atom_site_fract_x
_atom_site_fract_y
_atom_site_fract_z
Nd1 0.0024 0.0000 0.2599
Nd2 0.1627 0.5000 0.0921
Nd3 0.1655 0.5000 0.5739
Rh1 0.0000 0.5000 0.5000
Se1 0.1678 0.0000 0.8363
S1 0.0000 0.5000 0.0000
S2 0.1690 0.0000 0.3339
```



Nd8RhSe4S3: relaxed, GGA-PBE.

uncorrected energy: -100.09 eV per formula unit
density of states at the Fermi level: 0.488 states/eV/atom

Cell and atoms, written as CIF:
```
data_Nd8RhSe4S3
_chemical_formula_sum 'Nd24 Rh3 Se12 S9'
_cell_length_a 8.3211
_cell_length_b 8.3211
_cell_length_c 20.6118
_cell_angle_alpha 90.00
_cell_angle_beta 90.00
_cell_angle_gamma 120.00
_symmetry_space_group_name_H-M 'R -3 m'
_symmetry_Int_Tables_number 166
_symmetry_space_group_name_Hall '-R 3 2"'
loop_
_atom_site_label
_atom_site_fract_x
_atom_site_fract_y
_atom_site_fract_z
Nd1 0.0000 0.0000 0.2438
Nd2 0.0038 0.5019 0.2441
Rh1 0.0000 0.0000 0.5000
Se1 0.0000 0.0000 0.0000
Se2 0.0000 0.5000 0.0000
S1 0.0000 0.5000 0.5000
```